Density functional theory data (PBE) for an optimized crystal structure of Zn2CuHg2.

Output
calculated total energy = -1.194 eV/atom
D(E_F) = 0.29 states/eV per atom
spin magnetization = 0.0000 μB/atom
energy above the lowest structure with this stoichiometry = 0.064 eV/atom

Unit cell a=7.246 b=7.246 c=3.754 alpha=90.00 beta=90.00 gamma=90.00
Space group P4/mbm (No. 127)
Unique sites:
Zn 0.132 0.368 0.000 [4 per cell]
Cu 0.000 0.000 0.500 [2 per cell]
Hg 0.173 0.673 0.500 [4 per cell]

Density functional theory data (PBE) for an optimized crystal structure of Zn2CuHg.

Output
calculated total energy = -1.629 eV/atom
D(E_F) = 0.34 states/eV per atom
spin magnetization = 0.0000 μB/atom

Unit cell a=4.2501 b=4.2501 c=13.4134 alpha=90.00 beta=90.00 gamma=120.00
Space group R3m (No. 160, hexagonal axes)
Unique sites:
Zn 0.0000 0.0000 0.0000 [3 per cell]
Zn 0.0000 0.0000 0.2273 [3 per cell]
Cu 0.0000 0.0000 0.5873 [3 per cell]
Hg 0.0000 0.0000 0.7846 [3 per cell]

Density functional theory data (PBE) for an optimized crystal structure of Zn2CuHg.

Output
calculated total energy = -1.621 eV/atom
D(E_F) = 0.11 states/eV per atom
spin magnetization = 0.0000 μB/atom

Unit cell a=2.7928 b=2.7928 c=31.2824 alpha=90.00 beta=90.00 gamma=120.00
Space group R-3m (No. 166, hexagonal axes)
Unique sites:
Zn 0.0000 0.0000 0.2339 [6 per cell]
Cu 0.0000 0.0000 0.5000 [3 per cell]
Hg 0.0000 0.0000 0.0000 [3 per cell]

Density functional theory data (PBE) for an optimized crystal structure of Zn4CuHg.

Output
calculated total energy = -1.449 eV/atom
D(E_F) = 0.13 states/eV per atom
spin magnetization = 0.0000 μB/atom

Unit cell a=7.236 b=7.236 c=7.236 alpha=90.00 beta=90.00 gamma=90.00
Space group F-43m (No. 216)
Unique sites:
Zn 0.124 0.124 0.124 [16 per cell]
Cu 0.250 0.250 0.750 [4 per cell]
Hg 0.000 0.000 0.500 [4 per cell]

Density functional theory data (PBE) for an optimized crystal structure of Zn2CuHg2.

Output
calculated total energy = -1.203 eV/atom
D(E_F) = 0.33 states/eV per atom
spin magnetization = 0.0000 μB/atom
energy above the lowest structure with this stoichiometry = 0.056 eV/atom

Unit cell a=3.529 b=3.529 c=15.455 alpha=90.00 beta=90.00 gamma=90.00
Space group I4/mmm (No. 139)
Unique sites:
Zn 0.000 0.500 0.250 [4 per cell]
Cu 0.000 0.000 0.000 [2 per cell]
Hg 0.000 0.000 0.404 [4 per cell]

Density functional theory data (PBE) for an optimized crystal structure of Zn2CuHg2.

Output
calculated total energy = -1.259 eV/atom
D(E_F) = 0.33 states/eV per atom
spin magnetization = 0.0000 μB/atom
energy above the lowest structure with this stoichiometry = 0.000 eV/atom

Unit cell a=6.627 b=6.627 c=4.356 alpha=90.00 beta=90.00 gamma=90.00
Space group P4/mbm (No. 127)
Unique sites:
Zn 0.141 0.359 0.000 [4 per cell]
Cu 0.000 0.000 0.000 [2 per cell]
Hg 0.175 0.675 0.500 [4 per cell]

Density functional theory data (PBE) for an optimized crystal structure of ZnCuHg2.

Output
calculated total energy = -1.307 eV/atom
D(E_F) = 0.19 states/eV per atom
spin magnetization = 0.0000 μB/atom

Unit cell a=3.200 b=3.596 c=6.378 alpha=90.00 beta=90.00 gamma=90.00
Space group Pmmm (No. 47)
Unique sites:
Zn 0.000 0.000 0.000 [1 per cell]
Cu 0.000 0.000 0.500 [1 per cell]
Hg 0.500 0.500 0.260 [2 per cell]

Density functional theory data (PBE) for an optimized crystal structure of ZnCu2Hg2.

Output
calculated total energy = -1.805 eV/atom
D(E_F) = 0.34 states/eV per atom
spin magnetization = 0.0000 μB/atom
energy above the lowest structure with this stoichiometry = 0.057 eV/atom

Unit cell a=3.499 b=3.499 c=14.936 alpha=90.00 beta=90.00 gamma=90.00
Space group I4/mmm (No. 139)
Unique sites:
Zn 0.000 0.000 0.000 [2 per cell]
Cu 0.000 0.500 0.250 [4 per cell]
Hg 0.000 0.000 0.394 [4 per cell]